# 1
Below is a geometry-optimized RbHg3Pt structure, with properties calculated at the GGA-PBE level.

Output
- ΔE to the lowest computed polymorph (meV per atom) = 257
- ρ (g/cm3) = 6.66
- VASP energy (eV per atom) = -1.61
- energy relative to the elements (meV/atom) = -25

a = 5.338 Å, b = 5.338 Å, c = 7.716 Å
α = 90.00°, β = 90.00°, γ = 90.00°
Space group P4mm (No. 99)
One atom of each set of equivalent atoms:
Rb 0.000 0.000 0.000 [1 per cell]
Hg 0.000 0.000 0.460 [1 per cell]
Hg 0.000 0.500 0.690 [2 per cell]
Pt 0.500 0.500 0.714 [1 per cell]

# 2
Below is a geometry-optimized Tm4Te2PtS structure, with properties calculated at the GGA-PBE level.

Output
- ρ (g/cm3) = 9.37
- VASP energy (eV per atom) = -5.71
- raw formation energy (eV per atom) = -1.4200

a = 7.267 Å, b = 4.041 Å, c = 7.371 Å
α = 90.00°, β = 108.56°, γ = 90.00°
Space group P2/m (No. 10)
One atom of each set of equivalent atoms:
Tm 0.225 0.000 0.206 [2 per cell]
Tm 0.261 0.500 0.788 [2 per cell]
Te 0.000 0.000 0.500 [1 per cell]
Te 0.500 0.500 0.500 [1 per cell]
Pt 0.000 0.500 0.000 [1 per cell]
S 0.500 0.000 0.000 [1 per cell]

# 3
Below is a geometry-optimized NbSn3Cl structure, with properties calculated at the GGA-PBE level.

Output
- ΔE to the lowest computed polymorph (meV per atom) = 787
- ρ (g/cm3) = 5.67
- VASP energy (eV per atom) = -3.88
- raw formation energy (eV per atom) = 0.9068

a = 5.215 Å, b = 5.215 Å, c = 5.215 Å
α = 90.00°, β = 90.00°, γ = 90.00°
Space group Pm-3m (No. 221)
One atom of each set of equivalent atoms:
Nb 0.000 0.000 0.000 [1 per cell]
Sn 0.000 0.500 0.500 [3 per cell]
Cl 0.500 0.500 0.500 [1 per cell]

# 4
Below is a geometry-optimized PmEr5In6 structure, with properties calculated at the GGA-PBE level.

Output
- ρ (g/cm3) = 8.76
- VASP energy (eV per atom) = -4.12
- energy relative to the elements (meV/atom) = -450

a = 5.308 Å, b = 15.933 Å, c = 7.486 Å
α = 90.00°, β = 90.00°, γ = 90.00°
Space group Cmmm (No. 65)
One atom of each set of equivalent atoms:
Pm 0.000 0.000 0.000 [2 per cell]
Er 0.000 0.000 0.500 [2 per cell]
Er 0.000 0.333 0.000 [4 per cell]
Er 0.000 0.336 0.500 [4 per cell]
In 0.000 0.169 0.254 [8 per cell]
In 0.000 0.500 0.253 [4 per cell]

# 5
Below is a geometry-optimized Y2BiPtPb structure, with properties calculated at the GGA-PBE level.

Output
- ρ (g/cm3) = 7.49
- VASP energy (eV per atom) = -5.14
- energy relative to the elements (meV/atom) = 177

a = 5.845 Å, b = 5.845 Å, c = 5.123 Å
α = 90.00°, β = 90.00°, γ = 90.00°
Space group P4/mmm (No. 123)
One atom of each set of equivalent atoms:
Y 0.000 0.500 0.000 [2 per cell]
Bi 0.000 0.000 0.000 [1 per cell]
Pt 0.000 0.000 0.500 [1 per cell]
Pb 0.500 0.500 0.500 [1 per cell]

# 6
Below is a geometry-optimized InSiRuO structure, with properties calculated at the GGA-PBE level.

Output
- ΔE to the lowest computed polymorph (meV per atom) = 0
- ρ (g/cm3) = 7.33
- VASP energy (eV per atom) = -6.59
- raw formation energy (eV per atom) = -0.9882

a = 3.038 Å, b = 3.040 Å, c = 12.758 Å
α = 90.00°, β = 90.00°, γ = 90.00°
Space group Amm2 (No. 38)
One atom of each set of equivalent atoms:
In 0.000 0.000 0.000 [2 per cell]
Si 0.000 0.000 0.244 [2 per cell]
Ru 0.500 0.000 0.649 [2 per cell]
O 0.000 0.000 0.373 [2 per cell]

# 7
Below is a geometry-optimized Cs2KI4 structure, with properties calculated at the GGA-PBE level.

Output
- ρ (g/cm3) = 3.14
- VASP energy (eV per atom) = -2.42
- raw formation energy (eV per atom) = -1.1357

a = 6.667 Å, b = 6.667 Å, c = 19.323 Å
α = 90.00°, β = 90.00°, γ = 90.00°
Space group I4/mmm (No. 139)
One atom of each set of equivalent atoms:
Cs 0.000 0.000 0.124 [4 per cell]
K 0.000 0.000 0.500 [2 per cell]
I 0.000 0.000 0.320 [4 per cell]
I 0.000 0.500 0.000 [4 per cell]

# 8
Below is a geometry-optimized Pr4ErSn2 structure, with properties calculated at the GGA-PBE level.

Output
- ρ (g/cm3) = 6.45
- VASP energy (eV per atom) = -4.79
- energy relative to the elements (meV/atom) = -268

a = 5.5220 Å, b = 5.5220 Å, c = 28.3407 Å
α = 90.00°, β = 90.00°, γ = 120.00°
Space group R-3m (No. 166, hexagonal axes)
One atom of each set of equivalent atoms:
Pr 0.0000 0.0000 0.1245 [6 per cell]
Pr 0.0000 0.0000 0.2807 [6 per cell]
Er 0.0000 0.0000 0.5000 [3 per cell]
Sn 0.0000 0.0000 0.3942 [6 per cell]

# 9
Below is a geometry-optimized Y3Mg2Cd structure, with properties calculated at the GGA-PBE level.

Output
- ΔE to the lowest computed polymorph (meV per atom) = 0
- ρ (g/cm3) = 4.38
- VASP energy (eV per atom) = -4.11
- energy relative to the elements (meV/atom) = -194

a = 5.332 Å, b = 16.056 Å, c = 3.790 Å
α = 90.00°, β = 90.00°, γ = 90.00°
Space group Cmmm (No. 65)
One atom of each set of equivalent atoms:
Y 0.000 0.000 0.000 [2 per cell]
Y 0.000 0.335 0.000 [4 per cell]
Mg 0.000 0.171 0.500 [4 per cell]
Cd 0.000 0.500 0.500 [2 per cell]

# 10
Below is a geometry-optimized Co2Pt structure, with properties calculated at the GGA-PBE level.

Output
- ρ (g/cm3) = 13.49
- VASP energy (eV per atom) = -6.75
- energy relative to the elements (meV/atom) = -2

a = 2.669 Å, b = 13.570 Å, c = 4.255 Å
α = 90.00°, β = 90.00°, γ = 90.00°
Space group Cmcm (No. 63)
One atom of each set of equivalent atoms:
Co 0.000 0.048 0.250 [4 per cell]
Co 0.000 0.397 0.250 [4 per cell]
Pt 0.000 0.287 0.750 [4 per cell]

# 11
Below is a geometry-optimized InGaHg structure, with properties calculated at the GGA-PBE level.

Output
- ρ (g/cm3) = 8.47
- VASP energy (eV per atom) = -1.97
- energy relative to the elements (meV/atom) = 50

a = 4.624 Å, b = 5.657 Å, c = 6.771 Å
α = 113.32°, β = 109.89°, γ = 90.08°
Space group P1 (No. 1)
One atom of each set of equivalent atoms:
In 0.000 0.000 0.000 [1 per cell]
In 0.317 0.677 0.633 [1 per cell]
Ga 0.055 0.558 0.107 [1 per cell]
Ga 0.674 0.655 0.346 [1 per cell]
Hg 0.404 0.269 0.806 [1 per cell]
Hg 0.707 0.176 0.413 [1 per cell]

# 12
Below is a geometry-optimized LiTaNiIr structure, with properties calculated at the GGA-PBE level.

Output
- ρ (g/cm3) = 13.02
- VASP energy (eV per atom) = -7.47
- energy relative to the elements (meV/atom) = -364

a = 6.071 Å, b = 6.071 Å, c = 6.071 Å
α = 90.00°, β = 90.00°, γ = 90.00°
Space group F-43m (No. 216)
One atom of each set of equivalent atoms:
Li 0.000 0.000 0.000 [4 per cell]
Ta 0.000 0.000 0.500 [4 per cell]
Ni 0.250 0.250 0.750 [4 per cell]
Ir 0.250 0.250 0.250 [4 per cell]

# 13
Below is a geometry-optimized Tm5ZnCd2Co2 structure, with properties calculated at the GGA-PBE level.

Output
- ρ (g/cm3) = 9.29
- VASP energy (eV per atom) = -4.22
- energy relative to the elements (meV/atom) = -248

a = 11.289 Å, b = 11.289 Å, c = 3.514 Å
α = 90.00°, β = 90.00°, γ = 90.00°
Space group P4/mbm (No. 127)
One atom of each set of equivalent atoms:
Tm 0.000 0.500 0.000 [2 per cell]
Tm 0.075 0.207 0.000 [8 per cell]
Zn 0.000 0.000 0.500 [2 per cell]
Cd 0.175 0.675 0.500 [4 per cell]
Co 0.128 0.372 0.500 [4 per cell]

# 14
Below is a geometry-optimized K4MgTa structure, with properties calculated at the GGA-PBE level.

Output
- ρ (g/cm3) = 2.32
- VASP energy (eV per atom) = -1.79
- energy relative to the elements (meV/atom) = 1187

a = 10.116 Å, b = 10.116 Å, c = 10.116 Å
α = 90.00°, β = 90.00°, γ = 90.00°
Space group F-43m (No. 216)
One atom of each set of equivalent atoms:
K 0.124 0.124 0.376 [16 per cell]
Mg 0.000 0.000 0.000 [4 per cell]
Ta 0.250 0.250 0.750 [4 per cell]

# 15
Below is a geometry-optimized Ni2HgPt structure, with properties calculated at the GGA-PBE level.

Output
- ρ (g/cm3) = 14.56
- VASP energy (eV per atom) = -4.35
- energy relative to the elements (meV/atom) = 126

a = 3.840 Å, b = 3.840 Å, c = 7.937 Å
α = 90.00°, β = 90.00°, γ = 90.00°
Space group I-4m2 (No. 119)
One atom of each set of equivalent atoms:
Ni 0.000 0.000 0.000 [2 per cell]
Ni 0.000 0.500 0.250 [2 per cell]
Hg 0.000 0.000 0.500 [2 per cell]
Pt 0.000 0.500 0.750 [2 per cell]

# 16
Below is a geometry-optimized Sc6AsN2 structure, with properties calculated at the GGA-PBE level.

Output
- ρ (g/cm3) = 3.55
- VASP energy (eV per atom) = -7.54
- raw formation energy (eV per atom) = -0.9502

a = 11.457 Å, b = 10.298 Å, c = 6.511 Å
α = 90.00°, β = 114.85°, γ = 90.00°
Space group C2/c (No. 15)
One atom of each set of equivalent atoms:
Sc 0.103 0.097 0.495 [8 per cell]
Sc 0.123 0.256 0.036 [8 per cell]
Sc 0.168 0.438 0.672 [8 per cell]
As 0.000 0.389 0.250 [4 per cell]
N 0.114 0.078 0.173 [8 per cell]

# 17
Below is a geometry-optimized YHoCd4 structure, with properties calculated at the GGA-PBE level.

Output
- ΔE to the lowest computed polymorph (meV per atom) = 67
- ρ (g/cm3) = 8.03
- VASP energy (eV per atom) = -2.71
- energy relative to the elements (meV/atom) = -258

a = 8.348 Å, b = 8.348 Å, c = 8.348 Å
α = 90.00°, β = 90.00°, γ = 90.00°
Space group F-43m (No. 216)
One atom of each set of equivalent atoms:
Y 0.000 0.000 0.000 [4 per cell]
Ho 0.250 0.250 0.250 [4 per cell]
Cd 0.125 0.125 0.625 [16 per cell]

# 18
Below is a geometry-optimized LiMg3In3Ir2 structure, with properties calculated at the GGA-PBE level.

Output
- ρ (g/cm3) = 8.10
- VASP energy (eV per atom) = -3.84
- energy relative to the elements (meV/atom) = -214

a = 7.8379 Å, b = 7.8379 Å, c = 3.1165 Å
α = 90.00°, β = 90.00°, γ = 120.00°
Space group P-62m (No. 189)
One atom of each set of equivalent atoms:
Li 0.0000 0.0000 0.0000 [1 per cell]
Mg 0.0000 0.6107 0.0000 [3 per cell]
In 0.0000 0.2913 0.5000 [3 per cell]
Ir 0.3333 0.6667 0.5000 [2 per cell]

# 19
Below is a geometry-optimized La2Pm5Y structure, with properties calculated at the GGA-PBE level.

Output
- ΔE to the lowest computed polymorph (meV per atom) = 0
- ρ (g/cm3) = 6.43
- VASP energy (eV per atom) = -4.92
- energy relative to the elements (meV/atom) = 87

a = 23.810 Å, b = 6.519 Å, c = 17.928 Å
α = 90.00°, β = 125.87°, γ = 90.00°
Space group C2/c (No. 15)
One atom of each set of equivalent atoms:
La 0.068 0.043 0.231 [8 per cell]
La 0.221 0.423 0.559 [8 per cell]
Pm 0.022 0.458 0.865 [8 per cell]
Pm 0.053 0.170 0.519 [8 per cell]
Pm 0.151 0.077 0.969 [8 per cell]
Pm 0.166 0.465 0.832 [8 per cell]
Pm 0.207 0.127 0.712 [8 per cell]
Y 0.114 0.348 0.113 [8 per cell]

# 20
Below is a geometry-optimized NaNbGa2 structure, with properties calculated at the GGA-PBE level.

Output
- ΔE to the lowest computed polymorph (meV per atom) = 342
- ρ (g/cm3) = 4.77
- VASP energy (eV per atom) = -3.80
- energy relative to the elements (meV/atom) = 564

a = 4.405 Å, b = 4.405 Å, c = 18.335 Å
α = 90.00°, β = 90.00°, γ = 90.00°
Space group I-42d (No. 122)
One atom of each set of equivalent atoms:
Na 0.000 0.000 0.000 [4 per cell]
Nb 0.000 0.000 0.500 [4 per cell]
Ga 0.185 0.250 0.625 [8 per cell]

# 21
Below is a geometry-optimized Sm5CuNi2 structure, with properties calculated at the GGA-PBE level.

Output
- ρ (g/cm3) = 7.92
- VASP energy (eV per atom) = -5.11
- energy relative to the elements (meV/atom) = -200

a = 7.788 Å, b = 7.788 Å, c = 12.901 Å
α = 90.00°, β = 90.00°, γ = 90.00°
Space group I4/mcm (No. 140)
One atom of each set of equivalent atoms:
Sm 0.000 0.000 0.000 [4 per cell]
Sm 0.164 0.336 0.140 [16 per cell]
Cu 0.000 0.000 0.250 [4 per cell]
Ni 0.121 0.379 0.500 [8 per cell]

# 22
Below is a geometry-optimized Ca2FeTe structure, with properties calculated at the GGA-PBE level.

Output
- ΔE to the lowest computed polymorph (meV per atom) = 195
- ρ (g/cm3) = 3.62
- VASP energy (eV per atom) = -4.07
- raw formation energy (eV per atom) = -0.1676

a = 7.849 Å, b = 4.154 Å, c = 7.692 Å
α = 90.00°, β = 105.62°, γ = 90.00°
Space group C2/m (No. 12)
One atom of each set of equivalent atoms:
Ca 0.246 0.000 0.254 [4 per cell]
Fe 0.000 0.000 0.500 [2 per cell]
Te 0.000 0.500 0.000 [2 per cell]

# 23
Below is a geometry-optimized ZrCu2P structure, with properties calculated at the GGA-PBE level.

Output
- ρ (g/cm3) = 6.87
- VASP energy (eV per atom) = -5.93
- energy relative to the elements (meV/atom) = -393

a = 6.750 Å, b = 3.911 Å, c = 5.097 Å
α = 90.00°, β = 116.38°, γ = 90.00°
Space group Cm (No. 8)
One atom of each set of equivalent atoms:
Zr 0.000 0.000 0.000 [2 per cell]
Cu 0.222 0.000 0.667 [2 per cell]
Cu 0.486 0.000 0.457 [2 per cell]
P 0.288 0.500 0.363 [2 per cell]

# 24
Below is a geometry-optimized LiMgSc2Cd structure, with properties calculated at the GGA-PBE level.

Output
- ρ (g/cm3) = 3.27
- VASP energy (eV per atom) = -3.01
- energy relative to the elements (meV/atom) = 405

a = 4.969 Å, b = 4.969 Å, c = 4.803 Å
α = 90.00°, β = 90.00°, γ = 90.00°
Space group P4/mmm (No. 123)
One atom of each set of equivalent atoms:
Li 0.000 0.000 0.000 [1 per cell]
Mg 0.000 0.000 0.500 [1 per cell]
Sc 0.000 0.500 0.000 [2 per cell]
Cd 0.500 0.500 0.500 [1 per cell]